Entry 1:
VASP calculation (GGA-PBE) on crystalline SmLuTe at its relaxed geometry.

energy relative to the lowest polymorph listed for this composition = 290.4 meV per atom
energy relative to the elements, uncorrected = -469 meV/atom

CIF file:
```
data_SmLuTe
_symmetry_space_group_name_H-M 'P 3 m 1'
_symmetry_Int_Tables_number 156
_cell_length_a 5.1511
_cell_length_b 5.1511
_cell_length_c 3.9553
_cell_angle_alpha 90.00
_cell_angle_beta 90.00
_cell_angle_gamma 120.00
loop_
_symmetry_equiv_pos_as_xyz
'x,y,z'
'-y,x-y,z'
'-x+y,-x,z'
'-y,-x,z'
'-x+y,y,z'
'x,x-y,z'
loop_
_atom_site_label
_atom_site_fract_x
_atom_site_fract_y
_atom_site_fract_z
Sm1 0.0000 0.0000 0.0000
Lu1 0.3333 0.6667 0.5034
Te1 0.6667 0.3333 0.6574
```

=====

Entry 2:
VASP calculation (GGA-PBE) on crystalline Rb3Cu2I2Br4 at its relaxed geometry.

energy relative to the elements, uncorrected = -998 meV/atom

CIF file:
```
data_Rb3Cu2I2Br4
_symmetry_space_group_name_H-M 'I 4/m m m'
_symmetry_Int_Tables_number 139
_symmetry_space_group_name_Hall '-I 4 2'
_cell_length_a 5.122
_cell_length_b 5.122
_cell_length_c 29.290
_cell_angle_alpha 90.00
_cell_angle_beta 90.00
_cell_angle_gamma 90.00
loop_
_atom_site_label
_atom_site_fract_x
_atom_site_fract_y
_atom_site_fract_z
Rb1 0.000 0.000 0.000
Rb2 0.000 0.000 0.172
Cu1 0.000 0.000 0.397
I1 0.000 0.000 0.305
Br1 0.000 0.500 0.083
```

=====

Entry 3:
VASP calculation (GGA-PBE) on crystalline TaNiOs2Pt at its relaxed geometry.

VASP energy = -7.93 eV/atom

CIF file:
```
data_TaNiOs2Pt
_symmetry_space_group_name_H-M 'P 4/m m m'
_symmetry_Int_Tables_number 123
_symmetry_space_group_name_Hall '-P 4 2'
_cell_length_a 4.370
_cell_length_b 4.370
_cell_length_c 4.474
_cell_angle_alpha 90.00
_cell_angle_beta 90.00
_cell_angle_gamma 90.00
loop_
_atom_site_label
_atom_site_fract_x
_atom_site_fract_y
_atom_site_fract_z
Ta1 0.000 0.000 0.000
Ni1 0.500 0.500 0.500
Os1 0.000 0.500 0.500
Pt1 0.500 0.500 0.000
```

=====

Entry 4:
VASP calculation (GGA-PBE) on crystalline Pr5HoSn6 at its relaxed geometry.

VASP energy = -5.01 eV/atom

CIF file:
```
data_Pr5HoSn6
_symmetry_space_group_name_H-M 'C 1 2/m 1'
_symmetry_Int_Tables_number 12
_cell_length_a 5.942
_cell_length_b 14.564
_cell_length_c 8.688
_cell_angle_alpha 90.00
_cell_angle_beta 102.21
_cell_angle_gamma 90.00
loop_
_symmetry_equiv_pos_as_xyz
'x,y,z'
'-x,-y,-z'
'-x,y,-z'
'x,-y,z'
'x+1/2,y+1/2,z'
'-x+1/2,-y+1/2,-z'
'-x+1/2,y+1/2,-z'
'x+1/2,-y+1/2,z'
loop_
_atom_site_label
_atom_site_fract_x
_atom_site_fract_y
_atom_site_fract_z
Pr1 0.000 0.000 0.000
Pr2 0.000 0.327 0.000
Pr3 0.000 0.339 0.500
Ho1 0.000 0.000 0.500
Sn1 0.011 0.163 0.742
Sn2 0.036 0.500 0.244
```

=====

Entry 5:
VASP calculation (GGA-PBE) on crystalline K2RbMoBr6 at its relaxed geometry.

energy relative to the lowest polymorph listed for this composition = 71.4 meV per atom
energy relative to the elements, uncorrected = -1181 meV/atom

CIF file:
```
data_K2RbMoBr6
_symmetry_space_group_name_H-M 'F m -3 m'
_symmetry_Int_Tables_number 225
_symmetry_space_group_name_Hall '-F 4 2 3'
_cell_length_a 11.630
_cell_length_b 11.630
_cell_length_c 11.630
_cell_angle_alpha 90.00
_cell_angle_beta 90.00
_cell_angle_gamma 90.00
loop_
_atom_site_label
_atom_site_fract_x
_atom_site_fract_y
_atom_site_fract_z
K1 0.250 0.250 0.250
Rb1 0.000 0.000 0.000
Mo1 0.000 0.000 0.500
Br1 0.000 0.000 0.276
```

=====

Entry 6:
VASP calculation (GGA-PBE) on crystalline PmNd4Pt4 at its relaxed geometry.

VASP energy = -6.29 eV/atom

CIF file:
```
data_PmNd4Pt4
_symmetry_space_group_name_H-M 'I 4/m'
_symmetry_Int_Tables_number 87
_symmetry_space_group_name_Hall '-I 4'
_cell_length_a 9.367
_cell_length_b 9.367
_cell_length_c 5.901
_cell_angle_alpha 90.00
_cell_angle_beta 90.00
_cell_angle_gamma 90.00
loop_
_atom_site_label
_atom_site_fract_x
_atom_site_fract_y
_atom_site_fract_z
Pm1 0.000 0.000 0.000
Nd1 0.101 0.689 0.500
Pt1 0.102 0.706 0.000
```